Material: ErCu3Te3
Method: DFT, PBE
State: optimized geometry

Calculated values
* offset from the most stable computed form: 43 meV/atom
* uncorrected formation energy: -0.492 eV per atom
* space-group type: No. 148
* E: -4.2457 eV per atom
* total moment: 0.00 μB per formula unit

a = 8.206 Å, b = 8.206 Å, c = 8.206 Å
α = 53.82°, β = 53.82°, γ = 53.82°
Positions (direct):
1 Er 0.838 0.838 0.838
2 Er 0.162 0.162 0.162
3 Cu 0.976 0.651 0.252
4 Cu 0.252 0.976 0.651
5 Cu 0.651 0.252 0.976
6 Cu 0.349 0.748 0.024
7 Cu 0.748 0.024 0.349
8 Cu 0.024 0.349 0.748
9 Te 0.730 0.428 0.099
10 Te 0.428 0.099 0.730
11 Te 0.099 0.730 0.428
12 Te 0.901 0.270 0.572
13 Te 0.572 0.901 0.270
14 Te 0.270 0.572 0.901